Record 1
AcHfGe | GGA-PBE | optimized geometry

Values from the calculation:
M_tot ... 0.0 μB/f.u.
Calculated total energy ... -6.212 eV per atom
Offset from the most stable computed form ... 0.0 kJ/mol of formula units

Lattice parameters (Å, degrees): 4.957 4.957 4.957 60.00 60.00 60.00
Fractional positions:
1 Hf 0.750 0.750 0.750
2 Ge 0.000 0.000 0.000
3 Ac 0.250 0.250 0.250

Record 2
GePdNO | GGA-PBE | optimized geometry

Values from the calculation:
Calculated total energy ... -6.139 eV per atom
Offset from the most stable computed form ... 0.0 kJ/mol of formula units

Lattice parameters (Å, degrees): 3.093 5.259 6.533 90.00 90.00 90.00
Fractional positions:
1 O 0.500 0.811 0.896
2 O 0.500 0.311 0.104
3 N 0.000 0.383 0.731
4 N 0.000 0.883 0.269
5 Ge 0.500 0.474 0.864
6 Ge 0.500 0.974 0.136
7 Pd 0.000 0.086 0.534
8 Pd 0.000 0.586 0.466

Record 3
ScSnOs2 | GGA-PBE | optimized geometry

Values from the calculation:
M_tot ... 0.1 μB/f.u.
Calculated total energy ... -7.938 eV per atom

Lattice parameters (Å, degrees): 4.589 4.589 4.589 60.00 60.00 60.00
Fractional positions:
1 Sn 0.500 0.500 0.500
2 Os 0.750 0.750 0.750
3 Os 0.000 0.000 0.000
4 Sc 0.250 0.250 0.250

Record 4
Ho | GGA-PBE | optimized geometry

Values from the calculation:
M_tot ... 0.0 μB/f.u.
Calculated total energy ... -4.434 eV per atom
Formation enthalpy at 0 K ... 14 kJ/mol of formula units
Offset from the most stable computed form ... 13.8 kJ/mol of formula units

Lattice parameters (Å, degrees): 3.433 3.433 3.433 109.47 109.47 109.47
Fractional positions:
1 Ho 0.000 0.000 0.000

Record 5
Hg2As2O5 | GGA-PBE | optimized geometry

Values from the calculation:
Calculated total energy ... -4.295 eV per atom
Offset from the most stable computed form ... 0.0 kJ/mol of formula units

Lattice parameters (Å, degrees): 6.817 4.083 4.083 90.00 90.00 90.00
Fractional positions:
1 Hg 0.500 0.000 0.000
2 Hg 0.000 0.000 0.000
3 O 0.227 0.500 0.000
4 O 0.227 0.000 0.500
5 O 0.773 0.000 0.500
6 O 0.500 0.500 0.500
7 O 0.773 0.500 0.000
8 As 0.768 0.500 0.500
9 As 0.232 0.500 0.500

Record 6
SrInCuS3 | GGA-PBE | optimized geometry

Values from the calculation:
Calculated total energy ... -4.403 eV per atom

Lattice parameters (Å, degrees): 8.107 3.942 8.528 90.00 104.07 90.00
Fractional positions:
1 In 0.671 0.250 0.154
2 In 0.329 0.750 0.846
3 Cu 0.070 0.250 0.580
4 Cu 0.930 0.750 0.420
5 S 0.894 0.750 0.137
6 S 0.106 0.250 0.863
7 S 0.226 0.750 0.531
8 S 0.439 0.750 0.157
9 S 0.561 0.250 0.843
10 S 0.774 0.250 0.469
11 Sr 0.808 0.750 0.753
12 Sr 0.192 0.250 0.247

Record 7
MgCu2Te2F2 | GGA-PBE | optimized geometry

Values from the calculation:
Calculated total energy ... -3.383 eV per atom

Lattice parameters (Å, degrees): 3.640 3.640 9.484 90.00 90.00 90.00
Fractional positions:
1 F 0.500 0.500 0.000
2 F 0.000 0.000 0.000
3 Te 0.000 0.500 0.726
4 Te 0.500 0.000 0.274
5 Cu 0.500 0.000 0.870
6 Cu 0.000 0.500 0.130
7 Mg 0.000 0.000 0.500

Record 8
ScPtNO | GGA-PBE | optimized geometry

Values from the calculation:
M_tot ... 0.0 μB/f.u.
Calculated total energy ... -7.830 eV per atom
Offset from the most stable computed form ... 0.0 kJ/mol of formula units

Lattice parameters (Å, degrees): 5.408 7.342 5.184 90.00 90.00 90.00
Fractional positions:
1 Pt 0.556 0.458 0.012
2 Pt 0.056 0.542 0.012
3 Pt 0.944 0.458 0.512
4 Pt 0.444 0.542 0.512
5 N 0.635 0.330 0.675
6 N 0.865 0.330 0.175
7 N 0.365 0.670 0.175
8 N 0.135 0.670 0.675
9 Sc 0.967 0.126 0.886
10 Sc 0.033 0.874 0.386
11 Sc 0.533 0.126 0.386
12 Sc 0.467 0.874 0.886
13 O 0.748 0.966 0.130
14 O 0.252 0.034 0.630
15 O 0.248 0.034 0.130
16 O 0.752 0.966 0.630